The following is a DFT calculation (PBE+U) of a relaxed structure of CoBPO.

The space group is Pmc2_1 (No. 26) and the conventional cell measures 2.533, 6.073 and 5.438 Å, with angles of 90.00, 90.00 and 90.00 degrees. The distinct sites, in fractional coordinates, are Co at (0.000, 0.091, 0.000), B at (0.500, 0.347, 0.463), P at (0.500, 0.346, 0.832) and O at (0.000, 0.235, 0.381).

Its density is 4.6 g/cm³. The distance to the lowest polymorph of the same formula comes out at 28 meV/atom. As for the energy: -48.9 eV/cell. As for the crystal system: orthorhombic.